Here is Eu2I after structural relaxation from the Alexandria database. Energies are from PBE.

Summary:
E_form (uncorrected)	-691	meV per atom
space group	I4/mmm, No. 139
total magnetic moment	15.09	μB/cell

Unit cell a=3.9725 b=3.9725 c=7.7786 alpha=104.78 beta=104.78 gamma=90.05
Last column: nearest neighbours and their distance in Å.
Element x y z (fractional)
Eu (0.1531, 0.1531, 0.3062)  4 I 3.58, 8 Eu 3.97-3.98
Eu (0.8469, 0.8469, 0.6938)  4 I 3.58, 8 Eu 3.97-3.98
I (0.5000, 0.5000, 0.0000)  8 Eu 3.58, 4 I 3.97

***

Here is EuI2 after structural relaxation from the Alexandria database. Energies are from PBE.

Summary:
E_form (uncorrected)	-1584	meV per atom
space group	Pbca, No. 61
total magnetic moment	56.00	μB/cell

Unit cell a=7.9289 b=8.2164 c=15.4231 alpha=90.00 beta=90.00 gamma=90.00
Last column: nearest neighbours and their distance in Å.
Element x y z (fractional)
Eu (0.2277, 0.4489, 0.3896)  7 I 3.28-3.43
Eu (0.2723, 0.9489, 0.6104)  7 I 3.28-3.43
Eu (0.7723, 0.5511, 0.6104)  7 I 3.28-3.43
Eu (0.2277, 0.9489, 0.1104)  7 I 3.28-3.43
Eu (0.7277, 0.0511, 0.3896)  7 I 3.28-3.43
Eu (0.7277, 0.5511, 0.1104)  7 I 3.28-3.43
Eu (0.2723, 0.4489, 0.8896)  7 I 3.28-3.43
Eu (0.7723, 0.0511, 0.8896)  7 I 3.28-3.43
I (0.6494, 0.3886, 0.7945)  3 Eu 3.28-3.37
I (0.9956, 0.2340, 0.5317)  4 Eu 3.36-3.43
I (0.5044, 0.2340, 0.0317)  4 Eu 3.36-3.43
I (0.5044, 0.7340, 0.4683)  4 Eu 3.36-3.43
I (0.1494, 0.1114, 0.7945)  3 Eu 3.28-3.37
I (0.1494, 0.6114, 0.7055)  3 Eu 3.28-3.37
I (0.8506, 0.3886, 0.2945)  3 Eu 3.28-3.37
I (0.9956, 0.7340, 0.9683)  4 Eu 3.36-3.43
I (0.4956, 0.2660, 0.5317)  4 Eu 3.36-3.43
I (0.4956, 0.7660, 0.9683)  4 Eu 3.36-3.43
I (0.3506, 0.1114, 0.2945)  3 Eu 3.28-3.37
I (0.6494, 0.8886, 0.7055)  3 Eu 3.28-3.37
I (0.0044, 0.7660, 0.4683)  4 Eu 3.36-3.43
I (0.0044, 0.2660, 0.0317)  4 Eu 3.36-3.43
I (0.3506, 0.6114, 0.2055)  3 Eu 3.28-3.37
I (0.8506, 0.8886, 0.2055)  3 Eu 3.28-3.37

***

Here is EuI2 after structural relaxation from the Alexandria database. Energies are from PBE.

Summary:
E_form (uncorrected)	-1609	meV per atom
space group	Pnma, No. 62
total magnetic moment	28.00	μB/cell

Unit cell a=4.9310 b=8.4138 c=12.4187 alpha=90.00 beta=90.00 gamma=90.00
Last column: nearest neighbours and their distance in Å.
Element x y z (fractional)
Eu (0.2500, 0.1266, 0.1709)  7 I 3.29-3.45
Eu (0.7500, 0.6266, 0.3291)  7 I 3.29-3.45
Eu (0.2500, 0.3734, 0.6709)  7 I 3.29-3.45
Eu (0.7500, 0.8734, 0.8291)  7 I 3.29-3.45
I (0.2500, 0.3723, 0.3934)  4 Eu 3.36-3.45
I (0.2500, 0.8761, 0.3752)  3 Eu 3.29-3.30
I (0.7500, 0.3761, 0.1248)  3 Eu 3.29-3.30
I (0.2500, 0.6239, 0.8752)  3 Eu 3.29-3.30
I (0.2500, 0.1277, 0.8934)  4 Eu 3.36-3.45
I (0.7500, 0.8723, 0.1066)  4 Eu 3.36-3.45
I (0.7500, 0.1239, 0.6248)  3 Eu 3.29-3.30
I (0.7500, 0.6277, 0.6066)  4 Eu 3.36-3.45

***

Here is EuI2 after structural relaxation from the Alexandria database. Energies are from PBE.

Summary:
E_form (uncorrected)	-1589	meV per atom
space group	P2_1/c, No. 14
total magnetic moment	28.00	μB/cell

Unit cell a=8.2250 b=7.8471 c=8.0335 alpha=80.32 beta=90.00 gamma=90.00
Last column: nearest neighbours and their distance in Å.
Element x y z (fractional)
Eu (0.9474, 0.2146, 0.1921)  7 I 3.27-3.42
Eu (0.4474, 0.7854, 0.3079)  7 I 3.27-3.42
Eu (0.0526, 0.7854, 0.8079)  7 I 3.27-3.42
Eu (0.5526, 0.2146, 0.6921)  7 I 3.27-3.42
I (0.7665, 0.9308, 0.5080)  4 Eu 3.37-3.42
I (0.2665, 0.0692, 0.9920)  4 Eu 3.37-3.42
I (0.2335, 0.0692, 0.4920)  4 Eu 3.37-3.42
I (0.7335, 0.9308, 0.0080)  4 Eu 3.37-3.42
I (0.8770, 0.4133, 0.7994)  3 Eu 3.27-3.33
I (0.3770, 0.5867, 0.7006)  3 Eu 3.27-3.33
I (0.1230, 0.5867, 0.2006)  3 Eu 3.27-3.33
I (0.6230, 0.4133, 0.2994)  3 Eu 3.27-3.33

***

Here is EuInI2 after structural relaxation from the Alexandria database. Energies are from PBE.

Summary:
E_form (uncorrected)	-917	meV per atom
space group	R-3m, No. 166
total magnetic moment	7.14	μB/cell

Unit cell a=4.3953 b=4.3953 c=11.3718 alpha=78.86 beta=78.86 gamma=60.00
Last column: nearest neighbours and their distance in Å.
Element x y z (fractional)
Eu (0.5000, 0.5000, 0.5000)  6 I 3.22
I (0.1069, 0.1069, 0.6792)  3 Eu 3.22, 1 In 3.56
I (0.8931, 0.8931, 0.3208)  3 Eu 3.22, 1 In 3.56
In (0.0000, 0.0000, 0.0000)  2 I 3.56

***

Here is Eu2InI after structural relaxation from the Alexandria database. Energies are from PBE.

Summary:
E_form (uncorrected)	-746	meV per atom
space group	R-3m, No. 166
total magnetic moment	14.40	μB/cell
polymorph energy (0 for the lowest one)	0.020	eV per atom

Unit cell a=4.3042 b=4.3042 c=9.3401 alpha=76.68 beta=76.68 gamma=60.00
Last column: nearest neighbours and their distance in Å.
Element x y z (fractional)
Eu (0.2524, 0.2524, 0.2429)  3 In 3.31, 3 I 3.40
Eu (0.7476, 0.7476, 0.7571)  3 In 3.31, 3 I 3.40
I (0.5000, 0.5000, 0.5000)  6 Eu 3.40
In (0.0000, 0.0000, 0.0000)  6 Eu 3.31

***

Here is Eu2InI after structural relaxation from the Alexandria database. Energies are from PBE.

Summary:
E_form (uncorrected)	-766	meV per atom
space group	P4/mmm, No. 123
total magnetic moment	14.32	μB/cell
polymorph energy (0 for the lowest one)	0.000	eV per atom

Unit cell a=3.8855 b=3.8855 c=8.7990 alpha=90.00 beta=90.00 gamma=90.00
Last column: nearest neighbours and their distance in Å.
Element x y z (fractional)
Eu (0.0000, 0.0000, 0.7675)  4 In 3.43, 4 I 3.62
Eu (0.0000, 0.0000, 0.2325)  4 In 3.43, 4 I 3.62
I (0.5000, 0.5000, 0.5000)  8 Eu 3.62, 4 I 3.89
In (0.5000, 0.5000, 0.0000)  8 Eu 3.43

***

Here is EuInI3 after structural relaxation from the Alexandria database. Energies are from PBE.

Summary:
E_form (uncorrected)	-1001	meV per atom
space group	Pm-3m, No. 221
total magnetic moment	7.01	μB/cell

Unit cell a=6.3151 b=6.3151 c=6.3151 alpha=90.00 beta=90.00 gamma=90.00
Last column: nearest neighbours and their distance in Å.
Element x y z (fractional)
Eu (0.0000, 0.0000, 0.0000)  6 I 3.16
I (0.0000, 0.5000, 0.0000)  2 Eu 3.16
I (0.0000, 0.0000, 0.5000)  2 Eu 3.16
I (0.5000, 0.0000, 0.0000)  2 Eu 3.16
In (0.5000, 0.5000, 0.5000)  12 I 4.47

***

Here is EuInTeI after structural relaxation from the Alexandria database. Energies are from PBE.

Summary:
E_form (uncorrected)	-908	meV per atom
space group	F-43m, No. 216
total magnetic moment	7.00	μB/cell

Unit cell a=5.7494 b=5.7494 c=5.7494 alpha=60.00 beta=60.00 gamma=60.00
Last column: nearest neighbours and their distance in Å.
Element x y z (fractional)
Eu (0.5000, 0.5000, 0.5000)  4 Te 3.52, 4 I 3.52
I (0.7500, 0.7500, 0.7500)  4 Eu 3.52, 4 In 3.52
Te (0.2500, 0.2500, 0.2500)  4 In 3.52, 4 Eu 3.52
In (0.0000, 0.0000, 0.0000)  4 I 3.52, 4 Te 3.52

***

Here is Eu2IrI after structural relaxation from the Alexandria database. Energies are from PBE.

Summary:
E_form (uncorrected)	-780	meV per atom
space group	R-3m, No. 166
total magnetic moment	13.89	μB/cell
polymorph energy (0 for the lowest one)	0.000	eV per atom

Unit cell a=4.2682 b=4.2682 c=8.2935 alpha=75.09 beta=75.09 gamma=60.00
Last column: nearest neighbours and their distance in Å.
Element x y z (fractional)
Eu (0.7310, 0.7310, 0.8071)  3 Ir 2.90
Eu (0.2690, 0.2690, 0.1929)  3 Ir 2.90
I (0.5000, 0.5000, 0.5000)  6 Eu 3.46
Ir (0.0000, 0.0000, 0.0000)  6 Eu 2.90

***

Here is Eu2IrI after structural relaxation from the Alexandria database. Energies are from PBE.

Summary:
E_form (uncorrected)	-731	meV per atom
space group	P4/mmm, No. 123
total magnetic moment	13.76	μB/cell
polymorph energy (0 for the lowest one)	0.048	eV per atom

Unit cell a=3.6846 b=3.6846 c=8.1393 alpha=90.00 beta=90.00 gamma=90.00
Last column: nearest neighbours and their distance in Å.
Element x y z (fractional)
Eu (0.0000, 0.0000, 0.7959)  4 Ir 3.09, 1 Eu 3.32
Eu (0.0000, 0.0000, 0.2041)  4 Ir 3.09, 1 Eu 3.32
I (0.5000, 0.5000, 0.5000)  8 Eu 3.55, 4 I 3.68
Ir (0.5000, 0.5000, 0.0000)  8 Eu 3.09

***

Here is KEuI2 after structural relaxation from the Alexandria database. Energies are from PBE.

Summary:
E_form (uncorrected)	-1212	meV per atom
space group	R-3m, No. 166
total magnetic moment	7.88	μB/cell
polymorph energy (0 for the lowest one)	0.000	eV per atom

Unit cell a=4.4317 b=4.4317 c=9.6952 alpha=76.79 beta=76.79 gamma=60.00
Last column: nearest neighbours and their distance in Å.
Element x y z (fractional)
Eu (0.0000, 0.0000, 0.0000)  6 I 3.41
I (0.2532, 0.2532, 0.2403)  3 Eu 3.41, 3 K 3.53
I (0.7468, 0.7468, 0.7597)  3 Eu 3.41, 3 K 3.53
K (0.5000, 0.5000, 0.5000)  6 I 3.53

***

Here is KEu2I5 after structural relaxation from the Alexandria database. Energies are from PBE.

Summary:
E_form (uncorrected)	-1563	meV per atom
space group	P2_1/c, No. 14
total magnetic moment	56.00	μB/cell

Unit cell a=9.0197 b=9.9805 c=14.4268 alpha=89.97 beta=90.00 gamma=90.00
Last column: nearest neighbours and their distance in Å.
Element x y z (fractional)
K (0.9586, 0.5068, 0.1722)  7 I 3.59-3.84
K (0.4586, 0.4932, 0.3278)  7 I 3.59-3.84
K (0.0414, 0.4932, 0.8278)  7 I 3.59-3.84
K (0.5414, 0.5068, 0.6722)  7 I 3.59-3.84
Eu (0.9784, 0.0039, 0.1804)  8 I 3.39-3.58
Eu (0.9265, 0.2486, 0.4950)  7 I 3.24-3.46
Eu (0.4265, 0.7514, 0.0050)  7 I 3.24-3.46
Eu (0.0735, 0.7514, 0.5050)  7 I 3.24-3.46
Eu (0.5735, 0.2486, 0.9950)  7 I 3.24-3.46
Eu (0.5216, 0.0039, 0.6804)  8 I 3.39-3.58
Eu (0.0216, 0.9961, 0.8196)  8 I 3.39-3.58
Eu (0.4784, 0.9961, 0.3196)  8 I 3.39-3.58
I (0.1922, 0.7687, 0.2846)  3 Eu 3.36-3.47, 2 K 3.70-3.73
I (0.8316, 0.7804, 0.6804)  3 Eu 3.35-3.58
I (0.3316, 0.2196, 0.8196)  3 Eu 3.35-3.58
I (0.1684, 0.2196, 0.3196)  3 Eu 3.35-3.58
I (0.6684, 0.7804, 0.1804)  3 Eu 3.35-3.58
I (0.8078, 0.2313, 0.7154)  3 Eu 3.36-3.47, 2 K 3.70-3.73
I (0.3078, 0.7687, 0.7846)  3 Eu 3.36-3.47, 2 K 3.70-3.73
I (0.9555, 0.2173, 0.9973)  3 Eu 3.40-3.46, 1 K 3.76
I (0.8396, 0.9590, 0.3992)  4 Eu 3.30-3.47
I (0.3396, 0.0410, 0.1008)  4 Eu 3.30-3.47
I (0.1604, 0.0410, 0.6008)  4 Eu 3.30-3.47
I (0.6604, 0.9590, 0.8992)  4 Eu 3.30-3.47
I (0.0445, 0.7827, 0.0027)  3 Eu 3.40-3.46, 1 K 3.76
I (0.4555, 0.7827, 0.5027)  3 Eu 3.40-3.46, 1 K 3.76
I (0.6695, 0.5367, 0.9112)  2 Eu 3.24-3.35, 1 K 3.59
I (0.5445, 0.2173, 0.4973)  3 Eu 3.40-3.46, 1 K 3.76
I (0.8305, 0.5367, 0.4112)  2 Eu 3.24-3.35, 1 K 3.59
I (0.3305, 0.4633, 0.0888)  2 Eu 3.24-3.35, 1 K 3.59
I (0.1695, 0.4633, 0.5888)  2 Eu 3.24-3.35, 1 K 3.59
I (0.6922, 0.2313, 0.2154)  3 Eu 3.36-3.47, 2 K 3.70-3.73

***

Here is K2EuI after structural relaxation from the Alexandria database. Energies are from PBE.

Summary:
E_form (uncorrected)	-501	meV per atom
space group	R-3m, No. 166
total magnetic moment	7.68	μB/cell

Unit cell a=4.4338 b=4.4338 c=13.1437 alpha=80.29 beta=80.29 gamma=60.00
Last column: nearest neighbours and their distance in Å.
Element x y z (fractional)
Eu (0.0000, 0.0000, 0.0000)  2 K 4.09, 6 Eu 4.43
I (0.5000, 0.5000, 0.5000)  6 K 3.48
K (0.1058, 0.1058, 0.6826)  3 I 3.48
K (0.8942, 0.8942, 0.3174)  3 I 3.48

***

Here is KEuI3 after structural relaxation from the Alexandria database. Energies are from PBE.

Summary:
E_form (uncorrected)	-1469	meV per atom
space group	Pm-3m, No. 221
total magnetic moment	7.00	μB/cell

Unit cell a=6.3659 b=6.3659 c=6.3659 alpha=90.00 beta=90.00 gamma=90.00
Last column: nearest neighbours and their distance in Å.
Element x y z (fractional)
Eu (0.0000, 0.0000, 0.0000)  6 I 3.18
I (0.0000, 0.5000, 0.0000)  2 Eu 3.18
I (0.0000, 0.0000, 0.5000)  2 Eu 3.18
I (0.5000, 0.0000, 0.0000)  2 Eu 3.18
K (0.5000, 0.5000, 0.5000)  12 I 4.50

***

Here is KEuI2 after structural relaxation from the Alexandria database. Energies are from PBE.

Summary:
E_form (uncorrected)	-1175	meV per atom
space group	P4/mmm, No. 123
total magnetic moment	7.93	μB/cell
polymorph energy (0 for the lowest one)	0.037	eV per atom

Unit cell a=4.1178 b=4.1178 c=8.5458 alpha=90.00 beta=90.00 gamma=90.00
Last column: nearest neighbours and their distance in Å.
Element x y z (fractional)
Eu (0.5000, 0.5000, 0.0000)  8 I 3.51
I (0.0000, 0.0000, 0.7703)  4 Eu 3.51, 4 K 3.72, 1 I 3.93
I (0.0000, 0.0000, 0.2297)  4 Eu 3.51, 4 K 3.72, 1 I 3.93
K (0.5000, 0.5000, 0.5000)  8 I 3.72, 4 K 4.12

***

Here is KEuI2 after structural relaxation from the Alexandria database. Energies are from PBE.

Summary:
E_form (uncorrected)	-1073	meV per atom
space group	Fm-3m, No. 225
total magnetic moment	7.94	μB/cell
polymorph energy (0 for the lowest one)	0.139	eV per atom

Unit cell a=5.9131 b=5.9131 c=5.9131 alpha=60.00 beta=60.00 gamma=60.00
Last column: nearest neighbours and their distance in Å.
Element x y z (fractional)
Eu (0.0000, 0.0000, 0.0000)  8 I 3.62
I (0.2500, 0.2500, 0.2500)  4 Eu 3.62, 4 K 3.62
I (0.7500, 0.7500, 0.7500)  4 K 3.62, 4 Eu 3.62
K (0.5000, 0.5000, 0.5000)  8 I 3.62

***

Here is LaEuI2 after structural relaxation from the Alexandria database. Energies are from PBE.

Summary:
E_form (uncorrected)	-887	meV per atom
space group	R-3m, No. 166
total magnetic moment	8.34	μB/cell

Unit cell a=4.1302 b=4.1302 c=11.2271 alpha=79.40 beta=79.40 gamma=60.00
Last column: nearest neighbours and their distance in Å.
Element x y z (fractional)
Eu (0.5000, 0.5000, 0.5000)  6 I 3.26
I (0.0990, 0.0990, 0.7030)  1 La 3.26, 3 Eu 3.26
I (0.9010, 0.9010, 0.2970)  1 La 3.26, 3 Eu 3.26
La (0.0000, 0.0000, 0.0000)  2 I 3.26

***

Here is LaEuI after structural relaxation from the Alexandria database. Energies are from PBE.

Summary:
E_form (uncorrected)	-664	meV per atom
space group	P3m1, No. 156
total magnetic moment	8.09	μB/cell

Unit cell a=4.0663 b=4.0663 c=7.9669 alpha=90.00 beta=90.00 gamma=120.00
Last column: nearest neighbours and their distance in Å.
Element x y z (fractional)
Eu (0.3333, 0.6667, 0.6479)  3 I 3.46, 3 La 3.80
I (0.6667, 0.3333, 0.3292)  3 La 3.39, 3 Eu 3.46
La (0.0000, 0.0000, 0.0229)  3 I 3.39

***

Here is LaEuPbI after structural relaxation from the Alexandria database. Energies are from PBE.

Summary:
E_form (uncorrected)	-764	meV per atom
space group	F-43m, No. 216
total magnetic moment	6.96	μB/cell

Unit cell a=5.7152 b=5.7152 c=5.7152 alpha=60.00 beta=60.00 gamma=60.00
Last column: nearest neighbours and their distance in Å.
Element x y z (fractional)
Pb (0.5000, 0.5000, 0.5000)  4 La 3.50, 4 Eu 3.50
Eu (0.7500, 0.7500, 0.7500)  4 Pb 3.50, 4 I 3.50
I (0.0000, 0.0000, 0.0000)  4 Eu 3.50, 4 La 3.50
La (0.2500, 0.2500, 0.2500)  4 Pb 3.50, 4 I 3.50